Entry from OQMD: a relaxed CoHgOs2 crystal (PBE-GGA).

Summary:
- ΔE_f: 0.870 eV/atom

```
data_CoHgOs2
_chemical_formula_sum 'Co4 Hg4 Os8'
_cell_length_a 6.2456
_cell_length_b 6.2456
_cell_length_c 6.2456
_cell_angle_alpha 90.00
_cell_angle_beta 90.00
_cell_angle_gamma 90.00
_symmetry_space_group_name_H-M 'F -4 3 m'
_symmetry_Int_Tables_number 216
_symmetry_space_group_name_Hall 'F -4 2 3'
loop_
_atom_site_label
_atom_site_fract_x
_atom_site_fract_y
_atom_site_fract_z
_atom_site_occupancy
Co1 0.0000 0.0000 0.0000 1
Hg1 0.2500 0.2500 0.7500 1
Os1 0.0000 0.0000 0.5000 1
Os2 0.2500 0.2500 0.2500 1
```


Entry from OQMD: a relaxed CoHgOsPb crystal (PBE-GGA).

Summary:
- Relative energy among the computed polymorphs: 0 meV/atom

```
data_CoHgOsPb
_chemical_formula_sum 'Co4 Hg4 Os4 Pb4'
_cell_length_a 6.5296
_cell_length_b 6.5296
_cell_length_c 6.5296
_cell_angle_alpha 90.00
_cell_angle_beta 90.00
_cell_angle_gamma 90.00
_symmetry_space_group_name_H-M 'F -4 3 m'
_symmetry_Int_Tables_number 216
_symmetry_space_group_name_Hall 'F -4 2 3'
loop_
_atom_site_label
_atom_site_fract_x
_atom_site_fract_y
_atom_site_fract_z
_atom_site_occupancy
Co1 0.0000 0.0000 0.0000 1
Hg1 0.2500 0.2500 0.2500 1
Os1 0.0000 0.0000 0.5000 1
Pb1 0.2500 0.2500 0.7500 1
```


Entry from OQMD: a relaxed CoHgSbOs crystal (PBE-GGA).

Summary:
- Relative energy among the computed polymorphs: 0 meV/atom

```
data_CoHgSbOs
_chemical_formula_sum 'Co4 Hg4 Sb4 Os4'
_cell_length_a 6.4302
_cell_length_b 6.4302
_cell_length_c 6.4302
_cell_angle_alpha 90.00
_cell_angle_beta 90.00
_cell_angle_gamma 90.00
_symmetry_space_group_name_H-M 'F -4 3 m'
_symmetry_Int_Tables_number 216
_symmetry_space_group_name_Hall 'F -4 2 3'
loop_
_atom_site_label
_atom_site_fract_x
_atom_site_fract_y
_atom_site_fract_z
_atom_site_occupancy
Co1 0.0000 0.0000 0.0000 1
Hg1 0.2500 0.2500 0.2500 1
Sb1 0.2500 0.2500 0.7500 1
Os1 0.0000 0.0000 0.5000 1
```


Number 1: calculated density 17.45 g/cm3, VASP energy -105.5 eV per cell, total moment 0.69 μB/atom. Number 2: calculated density 15.67 g/cm3, VASP energy -75.4 eV per cell, total moment 0.14 μB/atom. Number 3: calculated density 14.28 g/cm3, VASP energy -81.0 eV per cell, total moment 0.17 μB/atom.